A geometry-optimized Zr2Co2F structure, computed with PBE+U.

Lattice parameters (Å, degrees): 3.3222 3.3222 7.7441 77.61 77.61 90.00
Last column: nearest neighbours and their distance in Å.
Sites, in units of the cell vectors:
Co (0.7500, 0.2500, 0.5000)  4 Co 2.35, 4 Zr 2.60
Co (0.2500, 0.7500, 0.5000)  4 Co 2.35, 4 Zr 2.60
Zr (0.3855, 0.3855, 0.2291)  4 Co 2.60, 4 F 2.89
Zr (0.6145, 0.6145, 0.7709)  4 Co 2.60, 4 F 2.89
F (0.0000, 0.0000, 0.0000)  8 Zr 2.89

Computed properties:
As for the total energy: -29.71 eV/f.u. The volume is 16.289 Å³ per atom. For the magnetization, the calculation gives 1.53 μB per formula unit. As for the space group: No. 139. The calculation puts the density of states at the Fermi level at 3.6 states/eV per cell.